# 1
# DyPaAsO

A geometry-optimized DyPaAsO structure (PBE, OQMD via LeMat-Bulk).

Cell: 4.212 4.212 9.324 Å, 90.00 90.00 90.00°
Space group P4/nmm (No. 129, origin choice 2)
Symmetry-distinct sites (fractional):
Dy 0.250 0.250 0.101 x2
Pa 0.250 0.750 0.500 x2
As 0.250 0.250 0.725 x2
O 0.250 0.750 0.000 x2

Calculated values
Energy relative to the lowest polymorph listed for this composition ... 37.2 meV per atom

=====

# 2
# Pr2Cd2SbAsO2

A geometry-optimized Pr2Cd2SbAsO2 structure (PBE, OQMD via LeMat-Bulk).

Cell: 4.259 4.259 9.445 Å, 90.00 90.00 90.00°
Space group P4mm (No. 99)
Symmetry-distinct sites (fractional):
Pr 0.000 0.000 0.000 x1
Pr 0.500 0.500 0.235 x1
Cd 0.000 0.500 0.597 x2
Sb 0.500 0.500 0.808 x1
As 0.000 0.000 0.407 x1
O 0.000 0.500 0.117 x2

Calculated values
Final energy ... -5.41 eV/atom

=====

# 3
# LaMgBPt

A geometry-optimized LaMgBPt structure (PBE, OQMD via LeMat-Bulk).

Cell: 6.635 6.635 6.635 Å, 90.00 90.00 90.00°
Space group F-43m (No. 216)
Symmetry-distinct sites (fractional):
La 0.000 0.000 0.000 x4
Mg 0.250 0.250 0.250 x4
B 0.000 0.000 0.500 x4
Pt 0.250 0.250 0.750 x4

Calculated values
Energy relative to the lowest polymorph listed for this composition ... 330.0 meV per atom

=====

# 4
# MgUCu

A geometry-optimized MgUCu structure (PBE, OQMD via LeMat-Bulk).

Cell: 6.468 6.468 6.468 Å, 90.00 90.00 90.00°
Space group F-43m (No. 216)
Symmetry-distinct sites (fractional):
Mg 0.000 0.000 0.000 x4
U 0.000 0.000 0.500 x4
Cu 0.250 0.250 0.250 x4

Calculated values
Final energy ... -4.52 eV/atom

=====

# 5
# Cd3As2O8

A geometry-optimized Cd3As2O8 structure (PBE, OQMD via LeMat-Bulk).

Cell: 9.293 11.896 6.622 Å, 90.00 98.76 90.00°
Space group P2_1/c (No. 14)
Symmetry-distinct sites (fractional):
Cd 0.047 0.119 0.159 x4
Cd 0.291 0.087 0.664 x4
Cd 0.347 0.688 0.635 x4
As 0.080 0.635 0.895 x4
As 0.394 0.092 0.188 x4
O 0.082 0.202 0.587 x4
O 0.084 0.566 0.668 x4
O 0.126 0.558 0.113 x4
O 0.200 0.744 0.874 x4
O 0.265 0.072 0.979 x4
O 0.294 0.150 0.359 x4
O 0.466 0.537 0.773 x4
O 0.471 0.684 0.353 x4

Calculated values
Energy relative to the lowest polymorph listed for this composition ... 0.0 meV per atom

=====

# 6
# LuI

A geometry-optimized LuI structure (PBE, OQMD via LeMat-Bulk).

Cell: 3.7203 3.7203 4.7206 Å, 90.00 90.00 120.00°
Space group P-6m2 (No. 187)
Symmetry-distinct sites (fractional):
Lu 0.0000 0.0000 0.0000 x1
I 0.3333 0.6667 0.5000 x1

Calculated values
Final energy ... -3.64 eV/atom

=====

# 7
# Ge5Pt3Au

A geometry-optimized Ge5Pt3Au structure (PBE, OQMD via LeMat-Bulk).

Cell: 5.3070 5.3070 7.2327 Å, 90.00 90.00 120.00°
Space group P6/mmm (No. 191)
Symmetry-distinct sites (fractional):
Ge 0.0000 0.0000 0.0000 x1
Ge 0.3333 0.6667 0.3136 x4
Pt 0.0000 0.5000 0.0000 x3
Au 0.0000 0.0000 0.5000 x1

Calculated values
Final energy ... -4.89 eV/atom

=====

# 8
# SiMo2

A geometry-optimized SiMo2 structure (PBE, OQMD via LeMat-Bulk).

Cell: 11.281 11.281 11.281 Å, 90.00 90.00 90.00°
Space group Fd-3m (No. 227, origin choice 2)
Symmetry-distinct sites (fractional):
Si 0.125 0.125 0.125 x8
Mo 0.000 0.000 0.000 x16

Calculated values
Energy relative to the lowest polymorph listed for this composition ... 2498.0 meV per atom

=====

# 9
# Zr2Pd

A geometry-optimized Zr2Pd structure (PBE, OQMD via LeMat-Bulk).

Cell: 7.885 7.885 7.885 Å, 90.00 90.00 90.00°
Space group Fd-3m (No. 227, origin choice 2)
Symmetry-distinct sites (fractional):
Zr 0.000 0.000 0.000 x16
Pd 0.125 0.125 0.625 x8

Calculated values
E_form ... 60 kJ/mol of formula units

=====

# 10
# LiCdCuSi

A geometry-optimized LiCdCuSi structure (PBE, OQMD via LeMat-Bulk).

Cell: 6.204 6.204 6.204 Å, 90.00 90.00 90.00°
Space group F-43m (No. 216)
Symmetry-distinct sites (fractional):
Li 0.000 0.000 0.000 x4
Cd 0.250 0.250 0.250 x4
Cu 0.250 0.250 0.750 x4
Si 0.000 0.000 0.500 x4

Calculated values
Energy relative to the lowest polymorph listed for this composition ... 20.0 meV per atom